Record 1
Material: BaTaI2
Method: DFT, PBEsol
State: optimized geometry

```
BaTaI2
1.0
-0.162 3.257 4.914
-4.944 -2.753 1.661
7.343 -6.328 0.898
Ta I Ba
2 4 2
Direct
0.000 0.000 0.000
0.250 0.750 0.500
0.125 0.038 0.750
0.962 0.375 0.250
0.625 0.712 0.750
0.288 0.875 0.250
0.500 0.500 0.000
0.750 0.250 0.500
```

## Properties
D(E_F): 7.5 states/eV/cell
uncorrected formation energy: 0.29 eV per atom


Record 2
Material: Ba3TaI
Method: DFT, PBEsol
State: optimized geometry

```
Ba3TaI
1.0
5.998 0.000 0.000
0.000 5.998 0.000
0.000 0.000 5.998
I Ba Ta
1 3 1
Direct
0.500 0.500 0.500
0.000 0.500 0.000
0.500 0.000 0.000
0.000 0.000 0.500
0.000 0.000 0.000
```

## Properties
D(E_F): 5.0 states/eV/cell
uncorrected formation energy: 0.41 eV per atom


Record 3
Material: BaTaI3
Method: DFT, PBEsol
State: optimized geometry

```
BaTaI3
1.0
-4.411 -4.767 0.419
2.045 -2.394 -5.696
4.326 -3.729 3.121
I Ba Ta
3 1 1
Direct
0.000 0.500 0.000
0.500 0.000 0.000
0.000 0.000 0.500
0.000 0.000 0.000
0.500 0.500 0.500
```

## Properties
D(E_F): 12.0 states/eV/cell
uncorrected formation energy: 0.61 eV per atom


Record 4
Material: BaTcI3
Method: DFT, PBEsol
State: optimized geometry

```
BaTcI3
1.0
-0.146 -6.117 -2.361
5.143 -1.572 3.755
-4.068 -1.768 4.831
I Tc Ba
3 1 1
Direct
0.500 0.000 0.000
0.000 0.000 0.500
0.000 0.500 0.000
0.500 0.500 0.500
0.000 0.000 0.000
```

## Properties
D(E_F): 3.1 states/eV/cell
uncorrected formation energy: 0.37 eV per atom


Record 5
Material: BaZrTeI2
Method: DFT, PBEsol
State: optimized geometry

```
BaZrTeI2
1.0
6.218 0.000 0.000
0.000 6.218 0.000
0.000 0.000 7.086
Zr I Ba Te
1 2 1 1
Direct
0.000 0.000 0.500
0.500 0.000 0.000
0.000 0.500 0.000
0.000 0.000 0.000
0.500 0.500 0.500
```

## Properties
D(E_F): 5.1 states/eV/cell
uncorrected formation energy: 0.63 eV per atom


Record 6
Material: Ba3TiI
Method: DFT, PBEsol
State: optimized geometry

```
Ba3TiI
1.0
6.433 0.000 0.000
0.000 6.433 0.000
0.000 0.000 6.433
Ba Ti I
3 1 1
Direct
0.000 0.000 0.500
0.000 0.500 0.000
0.500 0.000 0.000
0.500 0.500 0.500
0.000 0.000 0.000
```

## Properties
D(E_F): 9.0 states/eV/cell
uncorrected formation energy: 0.31 eV per atom